Material: NpVGeO6
Method: DFT, GGA+U
State: relaxed

POSCAR file:
```
NpVGeO6
1.0
5.376 0.000 0.000
-2.688 4.656 0.000
0.000 0.000 9.547
Np O Ge V
2 12 2 2
Cartesian
2.688 1.552 7.160 Np
0.000 3.104 2.387 Np
3.448 0.069 3.443 O
-0.760 4.587 6.105 O
-1.665 3.021 8.216 O
1.784 2.952 1.331 O
0.904 1.704 8.216 O
0.760 4.587 8.216 O
4.353 1.635 1.331 O
1.665 3.021 6.105 O
-0.904 1.704 6.105 O
3.592 2.952 3.443 O
1.023 1.635 3.443 O
1.928 0.069 1.331 O
0.000 0.000 4.774 Ge
0.000 0.000 0.000 Ge
2.688 1.552 2.387 V
0.000 3.104 7.160 V
```

The calculation puts the total energy at -8.12 eV/atom. Its magnetic moment is 2.00 μB/f.u.